A relaxed structure of LiCu2NiB, computed with PBE.

It has space group P4/mmm (No. 123), with a = 3.9534 Å, b = 3.9534 Å, c = 3.8099 Å, α = 90.00°, β = 90.00° and γ = 90.00°. The asymmetric unit holds Li at (0.0000, 0.0000, 0.0000), Cu at (0.0000, 0.5000, 0.5000), Ni at (0.5000, 0.5000, 0.0000) and B at (0.5000, 0.5000, 0.5000).

Its formation energy is 0.00 eV/atom. Its total energy is -4.51 eV/atom.